Density functional theory data (PBE) for a relaxed AcTmZnCo crystal.

```
AcTmZnCo
1.0
0.000 3.597 3.597
3.597 0.000 3.597
3.597 3.597 0.000
Ac Tm Zn Co
1 1 1 1
Direct
0.000 0.000 0.000
0.500 0.500 0.500
0.250 0.250 0.250
0.750 0.750 0.750
```

Values from the calculation:
Electronic total energy (eV/cell): -17.2
Spin magnetization (μB per formula unit): 0.001
Formation enthalpy at 0 K (eV/f.u.): -0.22
Mass density (g/cm3): 9.278
Crystal system: cubic